*a*
This record from the Alexandria database describes an optimized crystal structure of AlCd4Au5. The functional is PBE-GGA.

Lattice parameters (Å, degrees): 5.0250 6.8682 6.8682 82.31 68.54 68.54
Positions (direct):
Au1 0.7850 0.0001 0.3765
Cd1 0.4450 0.6847 0.3152
Au2 0.7851 0.3765 0.9999
Au3 0.1615 0.6235 0.0001
Au4 0.6486 0.0000 0.0000
Cd2 0.7602 0.6848 0.6847
Cd3 0.1297 0.3152 0.3153
Cd4 0.4449 0.3153 0.6848
Au5 0.1616 0.9999 0.6235
Al1 0.1680 0.0000 0.0000

Results
As for the total magnetic moment: 0.00 μB/cell. As for the density of states at the Fermi level: 2.25 states/eV per cell.

***

*b*
This record from the Alexandria database describes an optimized crystal structure of AlCd4Au5. The functional is PBE-GGA.

Lattice parameters (Å, degrees): 3.7402 3.7402 15.0932 97.12 97.12 90.00
Positions (direct):
Au1 0.0847 0.0847 0.1694
Cd1 0.3804 0.3804 0.7607
Cd2 0.6196 0.6196 0.2393
Cd3 0.8179 0.8179 0.6358
Au2 0.5000 0.5000 0.0000
Au3 0.2788 0.2788 0.5576
Al1 0.0000 0.0000 0.0000
Au4 0.7212 0.7212 0.4424
Au5 0.9153 0.9153 0.8306
Cd4 0.1821 0.1821 0.3642

Results
As for the total magnetic moment: 0.00 μB/cell. As for the density of states at the Fermi level: 2.72 states/eV per cell.

***

Which structure is most stable? *a*, by 33 meV per atom over the runner-up.

***

*a*
This record from the Alexandria database describes an optimized crystal structure of TaAlCrCdAu. The functional is PBE-GGA.

Lattice parameters (Å, degrees): 3.0865 4.8646 11.9350 90.00 90.00 90.00
Positions (direct):
Ta1 0.0000 0.0000 0.0531
Cr1 0.5000 0.0000 0.2098
Cd1 0.0000 0.5000 0.2770
Ta2 0.0000 0.5000 0.5531
Cr2 0.5000 0.5000 0.7098
Al1 0.0000 0.5000 0.8944
Cd2 0.0000 0.0000 0.7770
Al2 0.0000 0.0000 0.3944
Au1 0.5000 0.0000 0.5705
Au2 0.5000 0.5000 0.0705

Results
As for the total magnetic moment: 1.31 μB/cell. As for the density of states at the Fermi level: 6.00 states/eV per cell.

***

*b*
This record from the Alexandria database describes an optimized crystal structure of TaAlCrCdAu. The functional is PBE-GGA.

Lattice parameters (Å, degrees): 2.9309 4.2032 7.3264 89.90 89.89 90.00
Positions (direct):
Au1 0.2563 0.1813 0.6495
Ta1 0.7544 0.1800 0.0410
Cd1 0.7526 0.6789 0.3757
Cr1 0.2543 0.6799 0.0527
Al1 0.7558 0.6811 0.7630

Results
As for the total magnetic moment: 0.00 μB/cell. As for the density of states at the Fermi level: 2.76 states/eV per cell.

***

*c*
This record from the Alexandria database describes an optimized crystal structure of TaAlCrCdAu. The functional is PBE-GGA.

Lattice parameters (Å, degrees): 2.8560 4.2379 13.9894 90.00 96.99 90.00
Positions (direct):
Al1 0.2758 0.0000 0.2935
Cr1 0.7012 0.5000 0.3735
Cd1 0.5632 0.0000 0.0796
Au1 0.1097 0.5000 0.1875
Cr2 0.7012 0.0000 0.8735
Ta1 0.0051 0.0000 0.4662
Au2 0.1097 0.0000 0.6875
Ta2 0.0051 0.5000 0.9662
Al2 0.2758 0.5000 0.7935
Cd2 0.5632 0.5000 0.5796

Results
As for the total magnetic moment: 0.00 μB/cell. As for the density of states at the Fermi level: 5.58 states/eV per cell.

***

Which structure is most stable? *c*, by 115 meV per atom over the runner-up.

***

*a*
This record from the Alexandria database describes an optimized crystal structure of TaAlCrCdAu. The functional is PBE-GGA.

Lattice parameters (Å, degrees): 11.2446 3.2031 4.8172 90.00 101.96 90.00
Positions (direct):
Al1 0.1960 0.0000 0.6333
Au1 0.0066 0.5000 0.6823
Ta1 0.5480 0.5000 0.4275
Cr1 0.3733 0.5000 0.8373
Cd1 0.7797 0.5000 0.9587
Au2 0.0066 0.0000 0.1823
Ta2 0.5480 0.0000 0.9275
Al2 0.1960 0.5000 0.1333
Cr2 0.3733 0.0000 0.3373
Cd2 0.7797 0.0000 0.4587

Results
As for the total magnetic moment: 0.00 μB/cell. As for the density of states at the Fermi level: 7.21 states/eV per cell.

***

*b*
This record from the Alexandria database describes an optimized crystal structure of TaAlCrCdAu. The functional is PBE-GGA.

Lattice parameters (Å, degrees): 5.9215 2.9263 11.3504 90.00 111.45 90.00
Positions (direct):
Ta1 0.2682 0.5000 0.6176
Au1 0.8098 0.0000 0.1424
Au2 0.8098 0.5000 0.6424
Cr1 0.5720 0.5000 0.2586
Cd1 0.3240 0.0000 0.3950
Cr2 0.5720 0.0000 0.7586
Al1 0.8610 0.5000 0.9448
Ta2 0.2682 0.0000 0.1176
Cd2 0.3240 0.5000 0.8950
Al2 0.8610 0.0000 0.4448

Results
As for the total magnetic moment: 0.00 μB/cell. As for the density of states at the Fermi level: 7.40 states/eV per cell.

***

Which structure is most stable? *a*, by 199 meV per atom over the runner-up.

***

*a*
This record from the Alexandria database describes an optimized crystal structure of AlCdPdAu. The functional is PBE-GGA.

Lattice parameters (Å, degrees): 4.5806 4.5806 4.5806 60.00 60.00 60.00
Positions (direct):
Pd1 0.5000 0.5000 0.5000
Cd1 0.7500 0.7500 0.7500
Au1 0.0000 0.0000 0.0000
Al1 0.2500 0.2500 0.2500

Results
As for the total magnetic moment: 0.00 μB/cell. As for the density of states at the Fermi level: 1.52 states/eV per cell.

***

*b*
This record from the Alexandria database describes an optimized crystal structure of AlCdPdAu. The functional is PBE-GGA.

Lattice parameters (Å, degrees): 3.1185 3.1185 6.9875 90.00 90.00 90.00
Positions (direct):
Pd1 0.5000 0.5000 0.3605
Cd1 0.0000 0.0000 0.0824
Au1 0.5000 0.5000 0.7866
Al1 0.0000 0.0000 0.5551

Results
As for the total magnetic moment: 0.00 μB/cell. As for the density of states at the Fermi level: 1.67 states/eV per cell.

***

Which structure is most stable? *b*, by 109 meV per atom over the runner-up.

***

*a*
This record from the Alexandria database describes an optimized crystal structure of Ce2AlAu3. The functional is PBE-GGA.

Lattice parameters (Å, degrees): 3.5169 4.6798 8.2067 90.00 90.00 90.00
Positions (direct):
Al1 0.5000 0.5000 0.3267
Ce1 0.0000 0.5000 0.9907
Au1 0.5000 0.0000 0.1847
Au2 0.5000 0.0000 0.8409
Au3 0.5000 0.5000 0.6464
Ce2 0.0000 0.0000 0.5106

Results
As for the total magnetic moment: 1.45 μB/cell. As for the density of states at the Fermi level: 10.98 states/eV per cell.

***

*b*
This record from the Alexandria database describes an optimized crystal structure of Ce2AlAu3. The functional is PBE-GGA.

Lattice parameters (Å, degrees): 3.9761 4.2696 9.0145 103.70 102.74 90.00
Positions (direct):
Au1 0.6977 0.6977 0.3954
Ce1 0.8725 0.3725 0.7449
Al1 0.4607 0.9607 0.9214
Ce2 0.1238 0.1238 0.2476
Au2 0.5355 0.5355 0.0709
Au3 0.3099 0.8099 0.6197

Results
As for the total magnetic moment: 1.92 μB/cell. As for the density of states at the Fermi level: 14.96 states/eV per cell.

***

Which structure is most stable? *a*, by 100 meV per atom over the runner-up.

***

*a*
This record from the Alexandria database describes an optimized crystal structure of CeAl3Au3. The functional is PBE-GGA.

Lattice parameters (Å, degrees): 6.9650 6.9650 6.9650 90.00 90.00 90.00
Positions (direct):
Ce1 0.5000 0.5000 0.5000
Au1 0.0000 0.2500 0.5000
Al1 0.0000 0.5000 0.2500
Al2 0.5000 0.2500 0.0000
Au2 0.0000 0.7500 0.5000
Al3 0.7500 0.0000 0.5000
Au3 0.5000 0.0000 0.2500
Al4 0.2500 0.0000 0.5000
Au4 0.2500 0.5000 0.0000
Au5 0.7500 0.5000 0.0000
Al5 0.0000 0.5000 0.7500
Au6 0.5000 0.0000 0.7500
Ce2 0.0000 0.0000 0.0000
Al6 0.5000 0.7500 0.0000

Results
As for the total magnetic moment: 2.94 μB/cell. As for the density of states at the Fermi level: 20.65 states/eV per cell.

***

*b*
This record from the Alexandria database describes an optimized crystal structure of CeAl3Au3. The functional is PBE-GGA.

Lattice parameters (Å, degrees): 8.3549 8.3549 6.8024 52.11 52.11 60.00
Positions (direct):
Ce1 0.3231 0.3231 0.0306
Al1 0.8470 0.0528 0.8007
Al2 0.9472 0.7006 0.1993
Au1 0.8662 0.2454 0.3270
Au2 0.7546 0.4386 0.6730
Au3 0.2454 0.5614 0.3270
Au4 0.4386 0.1338 0.6730
Au5 0.1338 0.7546 0.6730
Al3 0.1530 0.9472 0.1993
Ce2 0.6769 0.6769 0.9694
Al4 0.2994 0.8470 0.8007
Au6 0.5614 0.8662 0.3270
Al5 0.0528 0.2994 0.8007
Al6 0.7006 0.1530 0.1993

Results
As for the total magnetic moment: 1.62 μB/cell. As for the density of states at the Fermi level: 12.01 states/eV per cell.

***

Which structure is most stable? *b*, by 194 meV per atom over the runner-up.

***

*a*
This record from the Alexandria database describes an optimized crystal structure of CeAl2Au6. The functional is PBE-GGA.

Lattice parameters (Å, degrees): 4.5749 6.9921 6.9921 61.85 80.53 80.53
Positions (direct):
Au1 0.2076 0.5150 0.1163
Au2 0.7924 0.8837 0.4850
Au3 0.2076 0.1163 0.5150
Al1 0.7154 0.3133 0.3133
Au4 0.5000 0.7065 0.2935
Ce1 0.0000 0.0000 0.0000
Al2 0.2846 0.6867 0.6867
Au5 0.5000 0.2935 0.7065
Au6 0.7924 0.4850 0.8837

Results
As for the total magnetic moment: 0.94 μB/cell. As for the density of states at the Fermi level: 9.27 states/eV per cell.

***

*b*
This record from the Alexandria database describes an optimized crystal structure of CeAl2Au6. The functional is PBE-GGA.

Lattice parameters (Å, degrees): 8.3666 8.3666 8.3666 60.00 60.00 60.00
Positions (direct):
Au1 0.0042 0.0042 0.4958
Au2 0.4958 0.0042 0.4958
Au3 0.7542 0.2458 0.7542
Au4 0.0042 0.4958 0.4958
Al1 0.6250 0.1250 0.1250
Au5 0.4958 0.4958 0.0042
Au6 0.7542 0.2458 0.2458
Au7 0.2458 0.7542 0.2458
Au8 0.0042 0.4958 0.0042
Al2 0.1250 0.1250 0.1250
Au9 0.2458 0.2458 0.7542
Ce1 0.7500 0.7500 0.7500
Au10 0.2458 0.7542 0.7542
Ce2 0.5000 0.5000 0.5000
Al3 0.1250 0.6250 0.1250
Au11 0.7542 0.7542 0.2458
Au12 0.4958 0.0042 0.0042
Al4 0.1250 0.1250 0.6250

Results
As for the total magnetic moment: 1.73 μB/cell. As for the density of states at the Fermi level: 23.10 states/eV per cell.

***

Which structure is most stable? *a*, by 178 meV per atom over the runner-up.

***

*a*
This record from the Alexandria database describes an optimized crystal structure of Ce2Al3Au2. The functional is PBE-GGA.

Lattice parameters (Å, degrees): 4.4266 5.7934 6.8546 112.35 90.00 112.46
Positions (direct):
Ce1 0.1530 0.3060 0.7891
Au1 0.8521 0.7041 0.7486
Al1 0.5000 0.0000 0.0000
Al2 0.3993 0.7987 0.5686
Ce2 0.8470 0.6940 0.2109
Au2 0.1479 0.2959 0.2514
Al3 0.6007 0.2013 0.4314

Results
As for the total magnetic moment: 1.19 μB/cell. As for the density of states at the Fermi level: 10.95 states/eV per cell.

***

*b*
This record from the Alexandria database describes an optimized crystal structure of Ce2Al3Au2. The functional is PBE-GGA.

Lattice parameters (Å, degrees): 4.4197 7.2765 9.7924 90.00 103.04 90.00
Positions (direct):
Al1 0.4404 0.9261 0.8809
Ce1 0.0517 0.7500 0.1033
Ce2 0.9483 0.2500 0.8967
Al2 0.7764 0.2500 0.5528
Al3 0.5596 0.4261 0.1191
Au1 0.6873 0.5503 0.3746
Au2 0.3127 0.4497 0.6254
Au3 0.6873 0.9497 0.3746
Al4 0.5596 0.0739 0.1191
Ce3 0.1569 0.2500 0.3138
Au4 0.3127 0.0503 0.6254
Al5 0.2236 0.7500 0.4472
Ce4 0.8431 0.7500 0.6862
Al6 0.4404 0.5739 0.8809

Results
As for the total magnetic moment: 2.57 μB/cell. As for the density of states at the Fermi level: 23.40 states/eV per cell.

***

Which structure is most stable? *a*, by 63 meV per atom over the runner-up.

***

*a*
This record from the Alexandria database describes an optimized crystal structure of CeThAlAu. The functional is PBE-GGA.

Lattice parameters (Å, degrees): 5.2664 5.2664 5.2664 60.00 60.00 60.00
Positions (direct):
Ce1 0.2500 0.2500 0.2500
Th1 0.7500 0.7500 0.7500
Al1 0.5000 0.5000 0.5000
Au1 0.0000 0.0000 0.0000

Results
As for the total magnetic moment: 1.78 μB/cell. As for the density of states at the Fermi level: 8.73 states/eV per cell.

***

*b*
This record from the Alexandria database describes an optimized crystal structure of CeThAlAu. The functional is PBE-GGA.

Lattice parameters (Å, degrees): 3.2410 6.2451 5.3082 90.00 90.00 105.04
Positions (direct):
Th1 0.2094 0.4187 0.0000
Ce1 0.9347 0.8694 0.0000
Au1 0.0735 0.1470 0.5000
Al1 0.7948 0.5896 0.5000

Results
As for the total magnetic moment: 0.85 μB/cell. As for the density of states at the Fermi level: 7.13 states/eV per cell.

***

Which structure is most stable? *a*, by 353 meV per atom over the runner-up.

***

*a*
This record from the Alexandria database describes an optimized crystal structure of CeAlZnAu. The functional is PBE-GGA.

Lattice parameters (Å, degrees): 4.4410 4.4410 5.6094 66.68 66.68 60.00
Positions (direct):
Zn1 0.2968 0.2968 0.1095
Au1 0.0221 0.0221 0.9336
Al1 0.5973 0.5973 0.2081
Ce1 0.8096 0.8096 0.5712

Results
As for the total magnetic moment: 0.64 μB/cell. As for the density of states at the Fermi level: 6.19 states/eV per cell.

***

*b*
This record from the Alexandria database describes an optimized crystal structure of CeAlZnAu. The functional is PBE-GGA.

Lattice parameters (Å, degrees): 4.8595 4.8595 4.8595 60.00 60.00 60.00
Positions (direct):
Zn1 0.0000 0.0000 0.0000
Ce1 0.7500 0.7500 0.7500
Al1 0.2500 0.2500 0.2500
Au1 0.5000 0.5000 0.5000

Results
As for the total magnetic moment: 0.38 μB/cell. As for the density of states at the Fermi level: 4.42 states/eV per cell.

***

Which structure is most stable? *b*, by 85 meV per atom over the runner-up.

***

*a*
This record from the Alexandria database describes an optimized crystal structure of AlAu2Cl. The functional is PBE-GGA.

Lattice parameters (Å, degrees): 4.8006 4.8006 4.8006 60.00 60.00 60.00
Positions (direct):
Au1 0.0000 0.0000 0.0000
Cl1 0.2500 0.2500 0.2500
Al1 0.5000 0.5000 0.5000
Au2 0.7500 0.7500 0.7500

Results
As for the total magnetic moment: 0.00 μB/cell. As for the density of states at the Fermi level: 1.82 states/eV per cell.

***

*b*
This record from the Alexandria database describes an optimized crystal structure of AlAu2Cl. The functional is PBE-GGA.

Lattice parameters (Å, degrees): 3.2745 5.2603 5.2608 62.96 90.00 90.00
Positions (direct):
Au1 0.0000 0.9645 0.9645
Au2 0.0000 0.5355 0.5355
Cl1 0.5000 0.2500 0.2500
Al1 0.5000 0.7500 0.7500

Results
As for the total magnetic moment: 0.00 μB/cell. As for the density of states at the Fermi level: 0.56 states/eV per cell.

***

*c*
This record from the Alexandria database describes an optimized crystal structure of AlAu2Cl. The functional is PBE-GGA.

Lattice parameters (Å, degrees): 5.0284 5.0284 2.9669 90.00 90.00 90.00
Positions (direct):
Al1 0.0000 0.5000 0.5000
Au1 0.5000 0.5000 0.0000
Cl1 0.5000 0.0000 0.5000
Au2 0.0000 0.0000 0.0000

Results
As for the total magnetic moment: 0.00 μB/cell. As for the density of states at the Fermi level: 1.97 states/eV per cell.

***

*d*
This record from the Alexandria database describes an optimized crystal structure of AlAu2Cl. The functional is PBE-GGA.

Lattice parameters (Å, degrees): 6.2014 6.2014 6.2014 152.20 135.27 53.48
Positions (direct):
Al1 0.2500 0.7500 0.5000
Cl1 0.7500 0.2500 0.5000
Au1 0.0545 0.0545 0.0000
Au2 0.4455 0.4455 0.0000

Results
As for the total magnetic moment: 0.00 μB/cell. As for the density of states at the Fermi level: 0.97 states/eV per cell.

***

Which structure is most stable? *b*, by 126 meV per atom over the runner-up.